No. 1
CuHS | PBE-GGA | relaxed

CIF file:
```
data_CuHS
_chemical_formula_sum 'Cu4 H4 S4'
_symmetry_space_group_name_H-M 'P n n m'
_symmetry_Int_Tables_number 58
_cell_length_a 4.2667
_cell_length_b 13.0033
_cell_length_c 4.0129
_cell_angle_alpha 90.00
_cell_angle_beta 90.00
_cell_angle_gamma 90.00
loop_
_symmetry_equiv_pos_as_xyz
'x,y,z'
'-x,-y,-z'
'-x,-y,z'
'x,y,-z'
'x+1/2,-y+1/2,-z+1/2'
'-x+1/2,y+1/2,z+1/2'
'-x+1/2,y+1/2,-z+1/2'
'x+1/2,-y+1/2,z+1/2'
loop_
_atom_site_label
_atom_site_fract_x
_atom_site_fract_y
_atom_site_fract_z
Cu1 0.1701 0.2116 0.0000
H1 0.1891 0.9240 0.5000
S1 0.0199 0.1549 0.5000
```

As for the crystal system: orthorhombic. The value obtained for the total DFT energy (no corrections) is -3.9915 eV per atom.

No. 2
CuHS3 | PBE-GGA | relaxed

CIF file:
```
data_CuHS3
_chemical_formula_sum 'Cu1 H1 S3'
_symmetry_space_group_name_H-M 'P m -3 m'
_symmetry_Int_Tables_number 221
_symmetry_space_group_name_Hall '-P 4 2 3'
_cell_length_a 4.5208
_cell_length_b 4.5208
_cell_length_c 4.5208
_cell_angle_alpha 90.00
_cell_angle_beta 90.00
_cell_angle_gamma 90.00
loop_
_atom_site_label
_atom_site_fract_x
_atom_site_fract_y
_atom_site_fract_z
Cu1 0.0000 0.0000 0.0000
H1 0.5000 0.5000 0.5000
S1 0.0000 0.0000 0.5000
```

As for the crystal system: cubic. The value obtained for the total DFT energy (no corrections) is -2.8035 eV per atom.

No. 3
CuSb2HS | PBE-GGA | relaxed

CIF file:
```
data_CuSb2HS
_chemical_formula_sum 'Cu1 Sb2 H1 S1'
_symmetry_space_group_name_H-M 'P 4/m m m'
_symmetry_Int_Tables_number 123
_symmetry_space_group_name_Hall '-P 4 2'
_cell_length_a 5.1163
_cell_length_b 5.1163
_cell_length_c 3.3232
_cell_angle_alpha 90.00
_cell_angle_beta 90.00
_cell_angle_gamma 90.00
loop_
_atom_site_label
_atom_site_fract_x
_atom_site_fract_y
_atom_site_fract_z
Cu1 0.0000 0.0000 0.0000
Sb1 0.0000 0.5000 0.5000
H1 0.0000 0.0000 0.5000
S1 0.5000 0.5000 0.0000
```

As for the crystal system: tetragonal. The value obtained for the total DFT energy (no corrections) is -3.5417 eV per atom.